VASP calculation (PBE) on an optimized crystal structure of ThSc2ReC4.

## Properties
SG: Cmcm
Energy of formation from the pure elements, eV per atom: -0.218
Total DFT energy (no corrections), eV for the cell shown: -142.342

```
data_ThSc2ReC4
_chemical_formula_sum 'Th2 Sc4 Re2 C8'
_symmetry_space_group_name_H-M 'P 1'
_symmetry_Int_Tables_number 1
_symmetry_space_group_name_Hall 'P 1'
_cell_length_a 3.409
_cell_length_b 6.200
_cell_length_c 11.462
_cell_angle_alpha 90.00
_cell_angle_beta 90.00
_cell_angle_gamma 105.96
loop_
_atom_site_label
_atom_site_type_symbol
_atom_site_fract_x
_atom_site_fract_y
_atom_site_fract_z
_atom_site_occupancy
Re1 Re 0.832 0.663 0.750 1
Re2 Re 0.168 0.337 0.250 1
C1 C 0.000 0.000 0.000 1
C2 C 0.267 0.534 0.122 1
C3 C 0.575 0.151 0.250 1
C4 C 0.733 0.466 0.622 1
C5 C 0.733 0.466 0.878 1
C6 C 0.000 0.000 0.500 1
C7 C 0.425 0.849 0.750 1
C8 C 0.267 0.534 0.378 1
Sc1 Sc 0.625 0.249 0.038 1
Sc2 Sc 0.625 0.249 0.462 1
Sc3 Sc 0.375 0.751 0.962 1
Sc4 Sc 0.375 0.751 0.538 1
Th1 Th 0.908 0.815 0.250 1
Th2 Th 0.092 0.185 0.750 1
```